No. 1
The following is a GGA-PBE calculation of a relaxed structure of AcTm6Tl6, from Alexandria.

Cell: 6.8005 6.8005 9.9479 Å, 90.00 90.00 120.00°
Fractional positions:
Ac1 0.0000 0.0000 0.0000
Tm1 0.0000 0.5000 0.2469
Tm2 0.0000 0.5000 0.7531
Tm3 0.5000 0.0000 0.2469
Tm4 0.5000 0.0000 0.7531
Tm5 0.5000 0.5000 0.2469
Tm6 0.5000 0.5000 0.7531
Tl1 0.0000 0.0000 0.3285
Tl2 0.0000 0.0000 0.6715
Tl3 0.3333 0.6667 0.0000
Tl4 0.3333 0.6667 0.5000
Tl5 0.6667 0.3333 0.0000
Tl6 0.6667 0.3333 0.5000

Spin magnetization ... 0.0 μB/cell
Calculated formation energy ... -147.5 meV/atom
Final energy ... -3.62 eV/atom

=====

No. 2
The following is a GGA-PBE calculation of a relaxed structure of AcTmTl4, from Alexandria.

Cell: 5.0818 5.0818 8.2308 Å, 90.00 90.00 95.18°
Fractional positions:
Ac1 0.0000 0.0000 0.0000
Tm1 0.5000 0.5000 0.5000
Tl1 0.0000 0.5000 0.2848
Tl2 0.0000 0.5000 0.7152
Tl3 0.5000 0.0000 0.2848
Tl4 0.5000 0.0000 0.7152

Spin magnetization ... 0.0 μB/cell
Calculated formation energy ... -21.8 meV/atom
Final energy ... -3.03 eV/atom

=====

No. 3
The following is a GGA-PBE calculation of a relaxed structure of AcYTmTl, from Alexandria.

Cell: 5.6179 5.6179 5.6179 Å, 60.00 60.00 60.00°
Fractional positions:
Ac1 0.0000 0.0000 0.0000
Y1 0.2500 0.2500 0.2500
Tm1 0.7500 0.7500 0.7500
Tl1 0.5000 0.5000 0.5000

Spin magnetization ... 1.5 μB/cell
Calculated formation energy ... 65.5 meV/atom
Final energy ... -4.29 eV/atom